Tb5SmTlIn2 | PBE | relaxed

Values from the calculation:
ΔH_f (0 K) (eV/atom): -0.0697
VASP energy (eV/atom): -4.038
DOS at the Fermi energy (states/eV/atom): 0.877
Crystal system: tetragonal

Cell lengths 8.627, 8.627, 14.186 Å; angles 90.00, 90.00, 90.00 degrees
Space group I4/mcm (No. 140)
Inequivalent atoms, fractional coordinates:
Tb1 0.000 0.000 0.000 (multiplicity 4)
Tb2 0.207 0.293 0.133 (multiplicity 16)
Sm1 0.000 0.500 0.250 (multiplicity 4)
Tl1 0.000 0.000 0.250 (multiplicity 4)
In1 0.110 0.390 0.500 (multiplicity 8)

---

CsNaTm2I8 | PBE | relaxed

Values from the calculation:
E_form (uncorrected) (eV per atom): -1.293
VASP energy (eV/atom): -3.253
DOS at the Fermi energy (states/eV/atom): 0.000
Crystal system: trigonal

Cell lengths 7.9780, 7.9780, 33.3699 Å; angles 90.00, 90.00, 120.00 degrees
Space group R-3 (No. 148, hexagonal axes)
Inequivalent atoms, fractional coordinates:
Cs1 0.0000 0.0000 0.0000 (multiplicity 3)
Na1 0.0000 0.0000 0.5000 (multiplicity 3)
Tm1 0.0000 0.0000 0.2470 (multiplicity 6)
I1 0.0000 0.0000 0.3317 (multiplicity 6)
I2 0.0055 0.3211 0.1090 (multiplicity 18)

---

CaMg2Si | PBE | relaxed

Values from the calculation:
E_form (uncorrected) (eV per atom): 0.132
VASP energy (eV/atom): -2.521
DOS at the Fermi energy (states/eV/atom): 0.757
Crystal system: tetragonal

Cell lengths 4.353, 4.353, 21.061 Å; angles 90.00, 90.00, 90.00 degrees
Space group I-42d (No. 122)
Inequivalent atoms, fractional coordinates:
Ca1 0.000 0.000 0.000 (multiplicity 4)
Mg1 0.217 0.250 0.625 (multiplicity 8)
Si1 0.000 0.000 0.500 (multiplicity 4)

---

Hf2IrPt8 | PBE | relaxed

Values from the calculation:
ΔH_f (0 K) (eV/atom): -0.1722
VASP energy (eV/atom): -7.181
DOS at the Fermi energy (states/eV/atom): 0.790
Crystal system: monoclinic

Cell lengths 10.797, 7.244, 5.639 Å; angles 90.00, 101.82, 90.00 degrees
Space group C2/m (No. 12)
Inequivalent atoms, fractional coordinates:
Hf1 0.229 0.000 0.287 (multiplicity 4)
Ir1 0.000 0.000 0.000 (multiplicity 2)
Pt1 0.075 0.500 0.352 (multiplicity 4)
Pt2 0.125 0.305 0.978 (multiplicity 8)
Pt3 0.178 0.000 0.726 (multiplicity 4)

---

Tm3Zr4 | PBE | relaxed

Values from the calculation:
ΔH_f (0 K) (eV/atom): 0.0326
VASP energy (eV/atom): -6.768
DOS at the Fermi energy (states/eV/atom): 1.455
Crystal system: hexagonal

Cell lengths 8.9037, 8.9037, 5.2783 Å; angles 90.00, 90.00, 120.00 degrees
Space group P6_3/m (No. 176)
Inequivalent atoms, fractional coordinates:
Tm1 0.0541 0.8020 0.2500 (multiplicity 6)
Zr1 0.1042 0.6110 0.7500 (multiplicity 6)
Zr2 0.3333 0.6667 0.2500 (multiplicity 2)

---

Ac3PmAl8 | PBE | relaxed

Values from the calculation:
ΔH_f (0 K) (eV/atom): -0.3872
VASP energy (eV/atom): -4.305
DOS at the Fermi energy (states/eV/atom): 0.553
Crystal system: trigonal

Cell lengths 5.8531, 5.8531, 28.6352 Å; angles 90.00, 90.00, 120.00 degrees
Space group R3m (No. 160, hexagonal axes)
Inequivalent atoms, fractional coordinates:
Ac1 0.0000 0.0000 0.0000 (multiplicity 3)
Ac2 0.0000 0.0000 0.1252 (multiplicity 3)
Ac3 0.0000 0.0000 0.6252 (multiplicity 3)
Pm1 0.0000 0.0000 0.4997 (multiplicity 3)
Al1 0.0000 0.0000 0.3120 (multiplicity 3)
Al2 0.0000 0.0000 0.8131 (multiplicity 3)
Al3 0.0012 0.5006 0.0643 (multiplicity 9)
Al4 0.1670 0.3341 0.8943 (multiplicity 9)

---

Na2Hg | PBE | relaxed

Values from the calculation:
ΔH_f (0 K) (eV/atom): -0.1735
VASP energy (eV/atom): -1.153
DOS at the Fermi energy (states/eV/atom): 0.395
Crystal system: tetragonal

Cell lengths 4.005, 4.005, 10.516 Å; angles 90.00, 90.00, 90.00 degrees
Space group I4/mmm (No. 139)
Inequivalent atoms, fractional coordinates:
Na1 0.000 0.000 0.155 (multiplicity 4)
Hg1 0.000 0.000 0.500 (multiplicity 2)

---

SmHo3Te6 | PBE | relaxed

Values from the calculation:
E_form (uncorrected) (eV per atom): -1.386
VASP energy (eV/atom): -5.116
Crystal system: monoclinic

Cell lengths 12.461, 4.362, 12.799 Å; angles 90.00, 109.33, 90.00 degrees
Space group P2_1/m (No. 11)
Inequivalent atoms, fractional coordinates:
Sm1 0.046 0.250 0.196 (multiplicity 2)
Ho1 0.156 0.250 0.581 (multiplicity 2)
Ho2 0.317 0.750 0.998 (multiplicity 2)
Ho3 0.434 0.250 0.334 (multiplicity 2)
Te1 0.084 0.750 0.402 (multiplicity 2)
Te2 0.114 0.250 0.968 (multiplicity 2)
Te3 0.194 0.750 0.750 (multiplicity 2)
Te4 0.255 0.750 0.221 (multiplicity 2)
Te5 0.392 0.250 0.561 (multiplicity 2)
Te6 0.483 0.250 0.117 (multiplicity 2)

---

Cs3Ac2PrO6 | PBE | relaxed

Values from the calculation:
E_form (uncorrected) (eV per atom): -2.491
VASP energy (eV/atom): -6.267
DOS at the Fermi energy (states/eV/atom): 0.000
Crystal system: monoclinic

Cell lengths 6.678, 11.572, 7.340 Å; angles 90.00, 107.61, 90.00 degrees
Space group C2/m (No. 12)
Inequivalent atoms, fractional coordinates:
Cs1 0.000 0.000 0.000 (multiplicity 2)
Cs2 0.000 0.335 0.000 (multiplicity 4)
Ac1 0.000 0.167 0.500 (multiplicity 4)
Pr1 0.000 0.500 0.500 (multiplicity 2)
O1 0.220 0.338 0.673 (multiplicity 8)
O2 0.234 0.000 0.673 (multiplicity 4)

---

RePbCl3 | PBE | relaxed

Values from the calculation:
E_form (uncorrected) (eV per atom): 0.526
VASP energy (eV/atom): -3.813
DOS at the Fermi energy (states/eV/atom): 0.009
Crystal system: cubic

Cell lengths 5.640, 5.640, 5.640 Å; angles 90.00, 90.00, 90.00 degrees
Space group Pm-3m (No. 221)
Inequivalent atoms, fractional coordinates:
Re1 0.000 0.000 0.000 (multiplicity 1)
Pb1 0.500 0.500 0.500 (multiplicity 1)
Cl1 0.000 0.500 0.500 (multiplicity 3)

---

Rb5Bi2S5 | PBE | relaxed

Values from the calculation:
E_form (uncorrected) (eV per atom): -0.800
VASP energy (eV/atom): -3.570
DOS at the Fermi energy (states/eV/atom): 0.105
Crystal system: monoclinic

Cell lengths 14.463, 4.831, 12.969 Å; angles 90.00, 107.99, 90.00 degrees
Space group C2/m (No. 12)
Inequivalent atoms, fractional coordinates:
Rb1 0.000 0.000 0.000 (multiplicity 2)
Rb2 0.158 0.000 0.556 (multiplicity 4)
Rb3 0.248 0.500 0.142 (multiplicity 4)
Bi1 0.038 0.500 0.290 (multiplicity 4)
S1 0.000 0.500 0.500 (multiplicity 2)
S2 0.106 0.500 0.890 (multiplicity 4)
S3 0.138 0.000 0.286 (multiplicity 4)

---

TaTcRh2 | PBE | relaxed

Values from the calculation:
ΔH_f (0 K) (eV/atom): -0.2732
VASP energy (eV/atom): -9.504
DOS at the Fermi energy (states/eV/atom): 0.742
Crystal system: monoclinic

Cell lengths 9.117, 2.800, 4.845 Å; angles 90.00, 100.63, 90.00 degrees
Space group Cm (No. 8)
Inequivalent atoms, fractional coordinates:
Ta1 0.000 0.000 0.000 (multiplicity 2)
Tc1 0.248 0.000 0.704 (multiplicity 2)
Rh1 0.002 0.500 0.504 (multiplicity 2)
Rh2 0.249 0.500 0.225 (multiplicity 2)

---

HoIn3Pt2 | PBE | relaxed

Values from the calculation:
ΔH_f (0 K) (eV/atom): -0.7024
VASP energy (eV/atom): -4.848
DOS at the Fermi energy (states/eV/atom): 0.478
Crystal system: orthorhombic

Cell lengths 4.066, 8.587, 7.381 Å; angles 90.00, 90.00, 90.00 degrees
Space group Pmc2_1 (No. 26)
Inequivalent atoms, fractional coordinates:
Ho1 0.000 0.082 0.000 (multiplicity 2)
In1 0.000 0.317 0.600 (multiplicity 2)
In2 0.500 0.188 0.327 (multiplicity 2)
In3 0.500 0.406 0.931 (multiplicity 2)
Pt1 0.000 0.382 0.215 (multiplicity 2)
Pt2 0.500 0.114 0.709 (multiplicity 2)

---

Tl2Ag2Pd3 | PBE | relaxed

Values from the calculation:
ΔH_f (0 K) (eV/atom): -0.0788
VASP energy (eV/atom): -3.795
DOS at the Fermi energy (states/eV/atom): 0.423
Crystal system: triclinic

Cell lengths 4.271, 4.962, 6.891 Å; angles 99.54, 90.32, 115.27 degrees
Space group P-1 (No. 2)
Inequivalent atoms, fractional coordinates:
Tl1 0.074 0.150 0.252 (multiplicity 2)
Ag1 0.355 0.712 0.080 (multiplicity 2)
Pd1 0.222 0.443 0.657 (multiplicity 2)
Pd2 0.500 0.000 0.500 (multiplicity 1)

---

KVSe2 | PBE | relaxed

Values from the calculation:
E_form (uncorrected) (eV per atom): -0.867
VASP energy (eV/atom): -5.163
Crystal system: monoclinic

Cell lengths 16.986, 3.362, 11.592 Å; angles 90.00, 131.61, 90.00 degrees
Space group C2/m (No. 12)
Inequivalent atoms, fractional coordinates:
K1 0.000 0.000 0.000 (multiplicity 2)
K2 0.000 0.000 0.500 (multiplicity 2)
V1 0.169 0.000 0.397 (multiplicity 4)
Se1 0.022 0.500 0.276 (multiplicity 4)
Se2 0.241 0.500 0.327 (multiplicity 4)

---

LiErSnIr | PBE | relaxed

Values from the calculation:
ΔH_f (0 K) (eV/atom): -0.6827
VASP energy (eV/atom): -5.518
DOS at the Fermi energy (states/eV/atom): 0.878
Crystal system: cubic

Cell lengths 6.665, 6.665, 6.665 Å; angles 90.00, 90.00, 90.00 degrees
Space group F-43m (No. 216)
Inequivalent atoms, fractional coordinates:
Li1 0.000 0.000 0.000 (multiplicity 4)
Er1 0.250 0.250 0.250 (multiplicity 4)
Sn1 0.250 0.250 0.750 (multiplicity 4)
Ir1 0.000 0.000 0.500 (multiplicity 4)

---

CsClF6 | PBE | relaxed

Values from the calculation:
E_form (uncorrected) (eV per atom): -1.245
VASP energy (eV/atom): -2.986
DOS at the Fermi energy (states/eV/atom): 0.000
Crystal system: trigonal

Cell lengths 5.7832, 5.7832, 15.5031 Å; angles 90.00, 90.00, 120.00 degrees
Space group R-3m (No. 166, hexagonal axes)
Inequivalent atoms, fractional coordinates:
Cs1 0.0000 0.0000 0.0000 (multiplicity 3)
Cl1 0.0000 0.0000 0.5000 (multiplicity 3)
F1 0.0367 0.5184 0.0993 (multiplicity 18)

---

BeBiPtPb2 | PBE | relaxed

Values from the calculation:
ΔH_f (0 K) (eV/atom): 1.1968
VASP energy (eV/atom): -3.016
DOS at the Fermi energy (states/eV/atom): 0.810
Crystal system: tetragonal

Cell lengths 6.098, 6.098, 5.049 Å; angles 90.00, 90.00, 90.00 degrees
Space group P4/mmm (No. 123)
Inequivalent atoms, fractional coordinates:
Be1 0.000 0.000 0.000 (multiplicity 1)
Bi1 0.500 0.500 0.500 (multiplicity 1)
Pt1 0.500 0.500 0.000 (multiplicity 1)
Pb1 0.000 0.500 0.500 (multiplicity 2)

---

AuCF2 | PBE | relaxed

Values from the calculation:
E_form (uncorrected) (eV per atom): 1.158
VASP energy (eV/atom): -2.903
DOS at the Fermi energy (states/eV/atom): 0.731
Crystal system: cubic

Cell lengths 5.766, 5.766, 5.766 Å; angles 90.00, 90.00, 90.00 degrees
Space group Fm-3m (No. 225)
Inequivalent atoms, fractional coordinates:
Au1 0.000 0.000 0.000 (multiplicity 4)
C1 0.000 0.000 0.500 (multiplicity 4)
F1 0.250 0.250 0.250 (multiplicity 8)

---

CaPOs2 | PBE | relaxed

Values from the calculation:
ΔH_f (0 K) (eV/atom): 0.0576
VASP energy (eV/atom): -7.410
DOS at the Fermi energy (states/eV/atom): 0.836
Crystal system: tetragonal

Cell lengths 2.930, 2.930, 7.634 Å; angles 90.00, 90.00, 90.00 degrees
Space group P4mm (No. 99)
Inequivalent atoms, fractional coordinates:
Ca1 0.000 0.000 0.000 (multiplicity 1)
P1 0.500 0.500 0.704 (multiplicity 1)
Os1 0.000 0.000 0.530 (multiplicity 1)
Os2 0.500 0.500 0.294 (multiplicity 1)